Crystalline Si2OsCl at its relaxed geometry. Source: Alexandria, functional PBE.

Cell lengths 4.7098, 4.7098, 4.7298 Å; angles 82.47, 82.47, 36.81 degrees
Positions (direct):
Si1 0.9693 0.9693 0.0315
Os1 0.2500 0.2500 0.2500
Si2 0.5307 0.5307 0.4685
Cl1 0.7500 0.7500 0.7500

formation energy from raw total energies = 0.652 eV per atom
SG = C2/m (12)
energy above the most stable polymorph in this dataset = 740 meV/atom
energy = -5.329 eV per atom